Entry 1
This record from the Alexandria database describes an optimized crystal structure of KTc2Pt. The functional is PBE.

The calculation puts the density of states at the Fermi level at 5.03 states/eV/f.u.

The structure belongs to space group Pmm2 (No. 25); the cell edges are 2.7301, 3.8175 and 7.9601 Å and the angles 90.00°, 90.00° and 90.00°. Symmetry generates all atoms from K at (0.0000, 0.0000, 0.0000), Tc at (0.0000, 0.0000, 0.4958), Tc at (0.5000, 0.5000, 0.6425) and Pt at (0.5000, 0.5000, 0.3096).

---

Entry 2
This record from the Alexandria database describes an optimized crystal structure of KTc2Pt. The functional is PBE.

The calculation puts the density of states at the Fermi level at 2.79 states/eV/f.u.

The structure belongs to space group Cmm2 (No. 35); the cell edges are 2.9349, 4.6770 and 10.2813 Å and the angles 90.00°, 90.00° and 90.00°. Symmetry generates all atoms from K at (0.0000, 0.0000, 0.0000), Tc at (0.0000, 0.0000, 0.4987), Tc at (0.0000, 0.5000, 0.2944) and Pt at (0.0000, 0.5000, 0.7314).

---

The calculated energies rank the structures as follows, beginning with the most stable: entry 1, entry 2.

---

Entry 1
This record from the Alexandria database describes an optimized crystal structure of KTc2Pt. The functional is PBE.

The calculation puts the density of states at the Fermi level at 4.91 states/eV/f.u.

The structure belongs to space group Pmmm (No. 47); the cell edges are 2.7413, 4.9619 and 5.1961 Å and the angles 90.00°, 90.00° and 90.00°. Symmetry generates all atoms from K at (0.0000, 0.0000, 0.0000), Tc at (0.0000, 0.5000, 0.5000), Tc at (0.5000, 0.0000, 0.5000) and Pt at (0.5000, 0.5000, 0.0000).

---

Entry 2
This record from the Alexandria database describes an optimized crystal structure of KTc2Pt. The functional is PBE.

The calculation puts the density of states at the Fermi level at 3.59 states/eV/f.u.

The structure belongs to space group R3m (No. 160, hexagonal axes); the cell edges are 2.8164, 2.8164 and 30.6342 Å and the angles 90.00°, 90.00° and 120.00°. Symmetry generates all atoms from K at (0.0000, 0.0000, 0.0000), Tc at (0.0000, 0.0000, 0.2333), Tc at (0.0000, 0.0000, 0.5005) and Pt at (0.0000, 0.0000, 0.7567).

---

The calculated energies rank the structures as follows, beginning with the most stable: entry 2, entry 1.

---

Entry 1
This record from the Alexandria database describes an optimized crystal structure of KTcPt. The functional is PBE.

The calculation puts the density of states at the Fermi level at 2.12 states/eV/f.u.

The structure belongs to space group P-1 (No. 2); the cell edges are 2.8471, 4.1245 and 13.0646 Å and the angles 98.91°, 90.69° and 90.00°. Symmetry generates all atoms from K at (0.2309, 0.3364, 0.1670), Tc at (0.2463, 0.4617, 0.4227) and Pt at (0.2588, 0.0718, 0.6463).

---

Entry 2
This record from the Alexandria database describes an optimized crystal structure of KTcPt. The functional is PBE.

The calculation puts the density of states at the Fermi level at 2.47 states/eV/f.u.

The structure belongs to space group P-1 (No. 2); the cell edges are 2.9427, 4.7300 and 11.6279 Å and the angles 82.39°, 86.76° and 71.90°. Symmetry generates all atoms from K at (0.2282, 0.1933, 0.1720), Tc at (0.3550, 0.7783, 0.5263) and Pt at (0.0523, 0.3274, 0.6517).

---

Entry 3
This record from the Alexandria database describes an optimized crystal structure of KTcPt. The functional is PBE.

The calculation puts the density of states at the Fermi level at 2.63 states/eV/f.u.

The structure belongs to space group F-43m (No. 216); the cell edges are 6.6992, 6.6992 and 6.6992 Å and the angles 90.00°, 90.00° and 90.00°. Symmetry generates all atoms from K at (0.0000, 0.0000, 0.0000), Tc at (0.2500, 0.2500, 0.7500) and Pt at (0.2500, 0.2500, 0.2500).

---

Entry 4
This record from the Alexandria database describes an optimized crystal structure of KTcPt. The functional is PBE.

The calculation puts the density of states at the Fermi level at 3.55 states/eV/f.u.

The structure belongs to space group P-1 (No. 2); the cell edges are 2.9134, 6.3832 and 7.7629 Å and the angles 92.88°, 90.05° and 102.55°. Symmetry generates all atoms from K at (0.0633, 0.0972, 0.2706), Tc at (0.3023, 0.6090, 0.0844) and Pt at (0.2159, 0.4296, 0.6369).

---

The calculated energies rank the structures as follows, beginning with the most stable: entry 1, entry 2, entry 4, entry 3.

---

Entry 1
This record from the Alexandria database describes an optimized crystal structure of KTcPt. The functional is PBE.

The calculation puts the density of states at the Fermi level at 2.58 states/eV/f.u.

The structure belongs to space group P6_3/mmc (No. 194); the cell edges are 5.8748, 5.8748 and 9.5452 Å and the angles 90.00°, 90.00° and 120.00°. Symmetry generates all atoms from K at (0.3333, 0.6667, 0.2500), Tc at (0.0000, 0.0000, 0.2500) and Pt at (0.0000, 0.0000, 0.0000).

---

Entry 2
This record from the Alexandria database describes an optimized crystal structure of KTcPt. The functional is PBE.

The calculation puts the density of states at the Fermi level at 2.78 states/eV/f.u.

The structure belongs to space group P-6m2 (No. 187); the cell edges are 4.1923, 4.1923 and 5.5319 Å and the angles 90.00°, 90.00° and 120.00°. Symmetry generates all atoms from K at (0.0000, 0.0000, 0.0000), Tc at (0.3333, 0.6667, 0.5000) and Pt at (0.6667, 0.3333, 0.5000).

---

Entry 3
This record from the Alexandria database describes an optimized crystal structure of KTcPt. The functional is PBE.

The calculation puts the density of states at the Fermi level at 1.63 states/eV/f.u.

The structure belongs to space group Cm (No. 8); the cell edges are 7.3316, 4.2352 and 11.9717 Å and the angles 90.00°, 107.05° and 90.00°. Symmetry generates all atoms from K at (0.0000, 0.0000, 0.0000), K at (0.2059, 0.5000, 0.3858), Tc at (0.1860, 0.0000, 0.6929), Tc at (0.3526, 0.5000, 0.6929), Pt at (0.0764, 0.5000, 0.8122) and Pt at (0.4621, 0.0000, 0.5736).

---

The calculated energies rank the structures as follows, beginning with the most stable: entry 3, entry 2, entry 1.

---

Entry 1
This record from the Alexandria database describes an optimized crystal structure of KTcPt. The functional is PBE.

The calculation puts the density of states at the Fermi level at 3.05 states/eV/f.u.

The structure belongs to space group P6_3/mmc (No. 194); the cell edges are 4.1899, 4.1899 and 11.1153 Å and the angles 90.00°, 90.00° and 120.00°. Symmetry generates all atoms from K at (0.0000, 0.0000, 0.0000), Tc at (0.3333, 0.6667, 0.2500) and Pt at (0.3333, 0.6667, 0.7500).

---

Entry 2
This record from the Alexandria database describes an optimized crystal structure of KTcPt. The functional is PBE.

The calculation puts the density of states at the Fermi level at 2.38 states/eV/f.u.

The structure belongs to space group P2_1/m (No. 11); the cell edges are 5.4030, 4.1346 and 6.6632 Å and the angles 90.00°, 101.33° and 90.00°. Symmetry generates all atoms from K at (0.2281, 0.2500, 0.4270), Tc at (0.4031, 0.7500, 0.0460) and Pt at (0.1019, 0.2500, 0.9187).

---

The calculated energies rank the structures as follows, beginning with the most stable: entry 2, entry 1.

---

Entry 1
This record from the Alexandria database describes an optimized crystal structure of KTcPt3. The functional is PBE.

The calculation puts the density of states at the Fermi level at 4.52 states/eV/f.u.

The structure belongs to space group Pm-3m (No. 221); the cell edges are 4.9027, 4.9027 and 4.9027 Å and the angles 90.00°, 90.00° and 90.00°. Symmetry generates all atoms from K at (0.0000, 0.0000, 0.0000), Tc at (0.5000, 0.5000, 0.5000) and Pt at (0.0000, 0.5000, 0.5000).

---

Entry 2
This record from the Alexandria database describes an optimized crystal structure of KTcPt3. The functional is PBE.

The calculation puts the density of states at the Fermi level at 9.83 states/eV/f.u.

The structure belongs to space group Pm-3m (No. 221); the cell edges are 4.8227, 4.8227 and 4.8227 Å and the angles 90.00°, 90.00° and 90.00°. Symmetry generates all atoms from K at (0.0000, 0.0000, 0.0000), Tc at (0.5000, 0.5000, 0.5000) and Pt at (0.0000, 0.0000, 0.5000).

---

The calculated energies rank the structures as follows, beginning with the most stable: entry 1, entry 2.